[1]
Material: Mn2AsRh
Method: DFT, GGA-PBE
State: optimized geometry

Structure (extended XYZ):
```
8
Lattice="-3.318 -5.708 -1.831 1.281 -2.719 6.157 -3.206 -3.228 3.054" Properties=species:S:1:pos:R:3 pbc="T T T"
Mn -4.205 -9.756 5.988
Mn -0.463 -3.301 4.356
As -1.471 -5.080 5.687
Mn -3.150 -5.620 4.000
Rh -3.771 -6.574 1.693
As -1.018 -4.214 2.163
Rh 0.000 0.000 0.000
Mn -2.668 -4.633 0.415
```

Calculated values
SG: I-42d, No. 122
Energy relative to the elements in eV per atom: 0.14
Mass density in g/cm³: 8.0
Total DFT energy (no corrections) in eV for the cell shown: -59.6



[2]
Material: Al3IrO
Method: DFT, GGA-PBE
State: optimized geometry

Structure (extended XYZ):
```
5
Lattice="-2.301 2.767 -2.991 1.078 -2.900 -3.511 -3.929 -2.415 0.789" Properties=species:S:1:pos:R:3 pbc="T T T"
Al -1.150 1.383 -1.496
O -2.576 -1.274 -2.857
Al 0.539 -1.450 -1.755
Ir 0.000 0.000 0.000
Al -1.965 -1.208 0.394
```

Calculated values
SG: Pm-3m, No. 221
Energy relative to the lowest polymorph listed for this composition in meV/atom: 818
Mass density in g/cm³: 4.7
Total DFT energy (no corrections) in eV for the cell shown: -25.2



[3]
Material: V2AuN
Method: DFT, GGA-PBE
State: optimized geometry

Structure (extended XYZ):
```
8
Lattice="4.916 0.000 0.000 0.000 4.916 0.000 2.458 2.458 5.192" Properties=species:S:1:pos:R:3 pbc="T T T"
N 2.458 4.916 2.596
V 3.687 4.310 3.894
V 6.146 5.523 3.894
V 3.064 1.229 1.298
V 1.852 3.687 1.298
N 2.458 2.458 0.000
Au 4.916 2.458 2.596
Au 0.000 0.000 0.000
```

Calculated values
SG: I-42d, No. 122
Mass density in g/cm³: 8.3
Total DFT energy (no corrections) in eV for the cell shown: -60.3